Record 1
A geometry-optimized BaTe2 structure, computed with PBE.

Calculated values
**Uncorrected formation energy**: -1.879 eV per formula unit
**Space group**: No. 227
**Mass density**: 6.0 g/cm³

Cell lengths 6.7619, 6.7619, 6.7619 Å; angles 60.00, 60.00, 60.00 degrees
Closest atoms and distances in Å follow each position.
Fractional positions:
Ba (0.1250, 0.1250, 0.1250)  12 Te 3.96, 4 Ba 4.14
Ba (0.8750, 0.8750, 0.8750)  12 Te 3.96, 4 Ba 4.14
Te (0.0000, 0.5000, 0.5000)  6 Te 3.38
Te (0.5000, 0.0000, 0.5000)  6 Te 3.38
Te (0.5000, 0.5000, 0.0000)  6 Te 3.38
Te (0.5000, 0.5000, 0.5000)  6 Te 3.38

Record 2
A geometry-optimized BaTe2 structure, computed with PBE.

Calculated values
**Uncorrected formation energy**: -3.223 eV per formula unit
**Space group**: No. 205
**Mass density**: 4.5 g/cm³

Cell lengths 8.3172, 8.3172, 8.3172 Å; angles 90.00, 90.00, 90.00 degrees
Closest atoms and distances in Å follow each position.
Fractional positions:
Ba (0.0000, 0.0000, 0.0000)  6 Te 3.54
Ba (0.0000, 0.5000, 0.5000)  6 Te 3.54
Ba (0.5000, 0.0000, 0.5000)  6 Te 3.54
Ba (0.5000, 0.5000, 0.0000)  6 Te 3.54
Te (0.0968, 0.5968, 0.9032)  1 Te 2.79
Te (0.0968, 0.9032, 0.4032)  1 Te 2.79
Te (0.4032, 0.0968, 0.9032)  1 Te 2.79
Te (0.4032, 0.4032, 0.4032)  1 Te 2.79
Te (0.5968, 0.5968, 0.5968)  1 Te 2.79
Te (0.5968, 0.9032, 0.0968)  1 Te 2.79
Te (0.9032, 0.0968, 0.5968)  1 Te 2.79
Te (0.9032, 0.4032, 0.0968)  1 Te 2.79

Record 3
A geometry-optimized BaTe structure, computed with PBE.

Calculated values
**Uncorrected formation energy**: -3.247 eV per formula unit
**Space group**: No. 221
**Mass density**: 5.7 g/cm³

Cell lengths 4.2604, 4.2604, 4.2604 Å; angles 90.00, 90.00, 90.00 degrees
Closest atoms and distances in Å follow each position.
Fractional positions:
Ba (0.0000, 0.0000, 0.0000)  8 Te 3.69
Te (0.5000, 0.5000, 0.5000)  8 Ba 3.69

Record 4
A geometry-optimized Ba2Te3 structure, computed with PBE.

Calculated values
**Uncorrected formation energy**: -6.743 eV per formula unit
**Space group**: No. 141
**Mass density**: 5.7 g/cm³

Cell lengths 10.2370, 10.2370, 10.2370 Å; angles 143.04, 143.04, 53.27 degrees
Closest atoms and distances in Å follow each position.
Fractional positions:
Ba (0.0722, 0.3222, 0.7500)  5 Te 3.39-3.64
Ba (0.3222, 0.0722, 0.2500)  5 Te 3.39-3.64
Ba (0.6778, 0.9278, 0.7500)  5 Te 3.39-3.64
Ba (0.9278, 0.6778, 0.2500)  5 Te 3.39-3.64
Te (0.0000, 0.5000, 0.5000)  2 Te 3.24
Te (0.1250, 0.8750, 0.2500)  6 Ba 3.39-3.61
Te (0.5000, 0.0000, 0.0000)  2 Te 3.24
Te (0.5000, 0.5000, 0.0000)  2 Te 3.24
Te (0.5000, 0.5000, 0.5000)  2 Te 3.24
Te (0.8750, 0.1250, 0.7500)  6 Ba 3.39-3.61

Record 5
A geometry-optimized Ba2Te structure, computed with PBE.

Calculated values
**Uncorrected formation energy**: -2.980 eV per formula unit
**Space group**: No. 123
**Mass density**: 4.7 g/cm³

Cell lengths 5.7512, 5.7512, 4.3182 Å; angles 90.00, 90.00, 90.00 degrees
Closest atoms and distances in Å follow each position.
Fractional positions:
Ba (0.0000, 0.5000, 0.0000)  4 Te 3.60
Ba (0.5000, 0.0000, 0.0000)  4 Te 3.60
Te (0.0000, 0.0000, 0.5000)  8 Ba 3.60

Record 6
A geometry-optimized BaTe4 structure, computed with PBE.

Calculated values
**Uncorrected formation energy**: 2.423 eV per formula unit
**Space group**: No. 221
**Mass density**: 3.5 g/cm³

Cell lengths 6.7169, 6.7169, 6.7169 Å; angles 90.00, 90.00, 90.00 degrees
Closest atoms and distances in Å follow each position.
Fractional positions:
Ba (0.0000, 0.0000, 0.0000)  6 Te 3.36
Te (0.0000, 0.0000, 0.5000)  2 Ba 3.36
Te (0.0000, 0.5000, 0.0000)  2 Ba 3.36
Te (0.5000, 0.0000, 0.0000)  2 Ba 3.36
Te (0.5000, 0.5000, 0.5000)  12 Te 4.75

| no. | total moment (Bohr magnetons per cell) | total energy (eV/atom) |
| --- | --- | --- |
| 1 | 0.00 | -3.362 |
| 2 | 0.00 | -3.810 |
| 3 | 0.00 | -4.155 |
| 4 | 0.00 | -4.003 |
| 5 | 0.01 | -3.322 |
| 6 | 6.07 | -2.413 |